Computed, not measured: CoBAs2Cl after structural relaxation at the PBE level of DFT.

extended XYZ file:
```
5
Lattice="4.359 0.000 0.000 0.000 4.359 0.000 0.000 0.000 4.319" Properties=species:S:1:pos:R:3 pbc="T T T"
Co 0.000 0.000 0.000
B 2.180 2.180 2.160
As 0.000 2.180 2.160
As 2.180 0.000 2.160
Cl 2.180 2.180 0.000
```

Energy relative to the elements, uncorrected, eV per atom: 1.036
Magnetic moment, μB/f.u.: 1.6
SG: P4/mmm, No. 123

Computed, not measured: BAsClF2 after structural relaxation at the PBE level of DFT.

extended XYZ file:
```
5
Lattice="4.942 0.000 0.000 0.000 4.942 0.000 0.000 0.000 3.448" Properties=species:S:1:pos:R:3 pbc="T T T"
B 0.000 0.000 0.000
As 2.471 2.471 0.000
Cl 0.000 0.000 1.724
F 0.000 2.471 1.724
F 2.471 0.000 1.724
```

Energy relative to the elements, uncorrected, eV per atom: 0.673
Magnetic moment, μB/f.u.: 0.8
SG: P4/mmm, No. 123

Computed, not measured: GaBAsCl2 after structural relaxation at the PBE level of DFT.

extended XYZ file:
```
5
Lattice="5.092 0.000 0.000 0.000 5.092 0.000 0.000 0.000 4.063" Properties=species:S:1:pos:R:3 pbc="T T T"
Ga 0.000 0.000 0.000
B 0.000 0.000 2.032
As 2.546 2.546 2.032
Cl 0.000 2.546 0.000
Cl 2.546 0.000 0.000
```

Energy relative to the elements, uncorrected, eV per atom: 0.704
Magnetic moment, μB/f.u.: 0.0
SG: P4/mmm, No. 123

Computed, not measured: LiBAsCl2 after structural relaxation at the PBE level of DFT.

extended XYZ file:
```
5
Lattice="5.537 0.000 0.000 0.000 5.537 0.000 0.000 0.000 3.751" Properties=species:S:1:pos:R:3 pbc="T T T"
Li 0.000 0.000 0.000
B 2.769 2.769 0.000
As 2.769 2.769 1.876
Cl 0.000 2.769 1.876
Cl 2.769 0.000 1.876
```

Energy relative to the elements, uncorrected, eV per atom: 0.193
Magnetic moment, μB/f.u.: 1.0
SG: P4/mmm, No. 123

Computed, not measured: MgBAsCl2 after structural relaxation at the PBE level of DFT.

extended XYZ file:
```
5
Lattice="4.332 0.000 0.000 0.000 4.332 0.000 0.000 0.000 4.844" Properties=species:S:1:pos:R:3 pbc="T T T"
Mg 0.000 0.000 0.000
B 2.166 2.166 2.422
As 2.166 2.166 0.000
Cl 0.000 2.166 2.422
Cl 2.166 0.000 2.422
```

Energy relative to the elements, uncorrected, eV per atom: 0.247
Magnetic moment, μB/f.u.: 0.0
SG: P4/mmm, No. 123

Computed, not measured: BAsPCl2 after structural relaxation at the PBE level of DFT.

extended XYZ file:
```
5
Lattice="4.189 0.000 0.000 0.000 4.189 0.000 0.000 0.000 4.633" Properties=species:S:1:pos:R:3 pbc="T T T"
B 0.000 0.000 0.000
As 2.094 2.094 2.316
P 0.000 0.000 2.316
Cl 0.000 2.094 0.000
Cl 2.094 0.000 0.000
```

Energy relative to the elements, uncorrected, eV per atom: 0.713
Magnetic moment, μB/f.u.: 0.0
SG: P4/mmm, No. 123
Offset from the most stable computed form, meV per atom: 0